This record from Alexandria describes a relaxed structure of HoPa2MoC4. The functional is GGA-PBE.

Its calculated formation energy is -0.107 eV per atom. The raw total energy is -9.019 eV/atom.

Lattice parameters (Å, degrees): 6.2089 6.2089 11.8422 90.00 90.00 146.05
Last column: nearest neighbours and their distance in Å.
Fractional coordinates of all 16 atoms:
Ho 0.1323 0.8677 0.7500  6 C 2.67-2.86
Ho 0.8677 0.1323 0.2500  6 C 2.67-2.86
Pa 0.3689 0.6311 0.5411  6 C 2.39-2.64
Pa 0.3689 0.6311 0.9589  6 C 2.39-2.64
Pa 0.6311 0.3689 0.0411  6 C 2.39-2.64
Pa 0.6311 0.3689 0.4589  6 C 2.39-2.64
Mo 0.1326 0.8674 0.2500  4 C 2.04-2.08
Mo 0.8674 0.1326 0.7500  4 C 2.04-2.08
C 0.0000 0.0000 0.0000  4 Pa 2.44
C 0.0000 0.0000 0.5000  4 Pa 2.44
C 0.2574 0.7426 0.1269  1 Mo 2.08
C 0.2574 0.7426 0.3731  1 Mo 2.08
C 0.4462 0.5538 0.7500  2 Mo 2.04
C 0.5538 0.4462 0.2500  2 Mo 2.04
C 0.7426 0.2574 0.6269  1 Mo 2.08
C 0.7426 0.2574 0.8731  1 Mo 2.08